Arrangement one

PBE La5Cl, optimized geometry; D(E_F) = 8.802 states/eV per cell; symmetry = P-62m, No. 189
1.0
3.288 -5.695 0.000
3.288 5.695 0.000
0.000 0.000 5.393
La Cl
5 1
Direct
0.304 0.304 0.000
0.333 0.667 0.500
0.667 0.333 0.500
0.696 0.000 0.000
0.000 0.696 0.000
0.000 0.000 0.500


Arrangement two

PBE La5Cl, optimized geometry; D(E_F) = 7.388 states/eV per cell; symmetry = Cm, No. 8
1.0
-2.957 -3.794 4.034
-1.391 -0.999 6.040
-8.208 3.983 0.861
La Cl
5 1
Direct
0.662 0.662 0.715
0.328 0.328 0.972
0.562 0.562 0.222
0.944 0.944 0.593
0.283 0.283 0.367
0.054 0.054 0.964


Last place for stability: arrangement one